SbMo3S | PBE | optimized geometry

Lattice parameters (Å, degrees): 4.472 4.472 4.472 90.00 90.00 90.00
Atoms (fractional coordinates):
Sb 0.500 0.500 0.500
Mo 0.000 0.500 0.000
Mo 0.000 0.000 0.500
Mo 0.500 0.000 0.000
S 0.000 0.000 0.000

Calculated values
SG: Pm-3m
E above lowest polymorph: 0.0 meV/atom
Energy relative to the elements, uncorrected: 0.4766 eV/atom
VASP energy: -7.672 eV/atom
Calculated density: 8.2 Mg/m³